A relaxed HfZr3Pd crystal. Source: Alexandria via LeMat-Bulk, functional PBE-GGA.

Results
* E_form: 0.51 eV/atom
* relative energy among the computed polymorphs: 0.00 eV/f.u.
* DOS(E_F): 5.6 states/eV/cell

```
HfZr3Pd
1.0
5.048 0.000 0.000
0.000 5.048 0.000
0.000 0.000 5.048
Zr Hf Pd
3 1 1
direct
0.000 0.500 0.000
0.000 0.000 0.500
0.500 0.000 0.000
0.500 0.500 0.500
0.000 0.000 0.000
```